No. 1
Here is LaMnNbGe2 after structural relaxation from Alexandria via LeMat-Bulk. Energies are from PBE-GGA.

Results
Total magnetic moment, μB/cell: 2.27
Formation energy, eV per atom: -0.491
Crystal system: tetragonal
DOS(E_F), states/eV/cell: 3.8
Calculated volume, Å³ per cell: 101

Cell and atoms, written as CIF:
```
data_LaMnNbGe2
_chemical_formula_sum 'La1 Mn1 Nb1 Ge2'
_cell_length_a 6.6250
_cell_length_b 6.6250
_cell_length_c 6.6250
_cell_angle_alpha 143.82
_cell_angle_beta 143.82
_cell_angle_gamma 52.10
_symmetry_space_group_name_H-M 'P 1'
_symmetry_Int_Tables_number 1
_symmetry_space_group_name_Hall 'P 1'
loop_
_atom_site_label
_atom_site_type_symbol
_atom_site_fract_x
_atom_site_fract_y
_atom_site_fract_z
_atom_site_occupancy
La1 La 0.0000 0.0000 0.0000 1
Mn1 Mn 0.7500 0.2500 0.5000 1
Nb1 Nb 0.2500 0.7500 0.5000 1
Ge1 Ge 0.3863 0.3863 0.0000 1
Ge2 Ge 0.6137 0.6137 0.0000 1
```

***

No. 2
Here is LaMnNiGe2 after structural relaxation from Alexandria via LeMat-Bulk. Energies are from PBE-GGA.

Results
Total magnetic moment, μB/cell: 3.59
Formation energy, eV per atom: -0.578
Crystal system: tetragonal
DOS(E_F), states/eV/cell: 2.9
Calculated volume, Å³ per cell: 92

Cell and atoms, written as CIF:
```
data_LaMnNiGe2
_chemical_formula_sum 'La1 Mn1 Ni1 Ge2'
_cell_length_a 5.9739
_cell_length_b 5.9739
_cell_length_c 5.9739
_cell_angle_alpha 138.71
_cell_angle_beta 138.71
_cell_angle_gamma 59.82
_symmetry_space_group_name_H-M 'P 1'
_symmetry_Int_Tables_number 1
_symmetry_space_group_name_Hall 'P 1'
loop_
_atom_site_label
_atom_site_type_symbol
_atom_site_fract_x
_atom_site_fract_y
_atom_site_fract_z
_atom_site_occupancy
La1 La 0.0000 0.0000 0.0000 1
Mn1 Mn 0.7500 0.2500 0.5000 1
Ni1 Ni 0.2500 0.7500 0.5000 1
Ge1 Ge 0.3725 0.3725 0.0000 1
Ge2 Ge 0.6275 0.6275 0.0000 1
```